PrEr2Ga2Ag2 | PBE-GGA | relaxed

abc: 9.3163 9.3163 9.3163
angles: 28.95 28.95 28.95
Last column: nearest neighbours and their distance in Å.
Element x y z (fractional)
Pr1 0.0000 0.0000 0.0000  6 Ag 3.34, 2 Er 3.41, 6 Ga 3.44
Er1 0.1276 0.1276 0.1276  3 Ga 2.98, 3 Ag 3.04
Er2 0.8724 0.8724 0.8724  3 Ga 2.98, 3 Ag 3.04
Ga1 0.2534 0.2534 0.2534  3 Ag 2.69, 3 Er 2.98
Ga2 0.7466 0.7466 0.7466  3 Ag 2.69, 3 Er 2.98
Ag1 0.4076 0.4076 0.4076  3 Ga 2.69
Ag2 0.5924 0.5924 0.5924  3 Ga 2.69

**Calculated volume**: 23.9 A^3/atom
**Density of states at the Fermi level**: 0.6218 states/eV per atom
**Symmetry**: R-3m, No. 166
**E**: -28.3 eV per cell
**Calculated formation energy**: -377 meV/atom